Entry 1:
Here is Ca3PmTm2Se6 after structural relaxation from Alexandria. Energies are from GGA-PBE.

Summary:
SG: C2/m
Formation energy without anion corrections (meV/atom): -1858

Cell lengths 7.121, 7.121, 7.224 Å; angles 99.50, 99.50, 119.93 degrees
Atoms (fractional coordinates):
Ca1 0.000 0.000 0.000
Ca2 0.336 0.664 0.000
Ca3 0.664 0.336 0.000
Pm1 0.500 0.500 0.500
Tm1 0.168 0.832 0.500
Tm2 0.832 0.168 0.500
Se1 0.075 0.418 0.254
Se2 0.238 0.238 0.744
Se3 0.418 0.075 0.254
Se4 0.582 0.925 0.746
Se5 0.762 0.762 0.256
Se6 0.925 0.582 0.746

---

Entry 2:
Here is LiSiAsOs2 after structural relaxation from Alexandria. Energies are from GGA-PBE.

Summary:
SG: P4/mmm
Formation energy without anion corrections (meV/atom): 850

Cell lengths 4.451, 4.451, 4.288 Å; angles 90.00, 90.00, 90.00 degrees
Atoms (fractional coordinates):
Li1 0.000 0.000 0.000
Si1 0.000 0.000 0.500
As1 0.500 0.500 0.000
Os1 0.000 0.500 0.500
Os2 0.500 0.000 0.500

---

Entry 3:
Here is ThSbPd5 after structural relaxation from Alexandria. Energies are from GGA-PBE.

Summary:
SG: Pnma
Formation energy without anion corrections (meV/atom): -646

Cell lengths 8.735, 5.573, 10.809 Å; angles 90.00, 90.00, 90.00 degrees
Atoms (fractional coordinates):
Th1 0.250 0.250 0.047
Th2 0.250 0.750 0.547
Th3 0.750 0.250 0.453
Th4 0.750 0.750 0.953
Sb1 0.165 0.250 0.344
Sb2 0.335 0.750 0.844
Sb3 0.665 0.250 0.156
Sb4 0.835 0.750 0.656
Pd1 0.058 0.509 0.796
Pd2 0.058 0.991 0.796
Pd3 0.078 0.250 0.574
Pd4 0.092 0.750 0.021
Pd5 0.184 0.750 0.282
Pd6 0.316 0.250 0.782
Pd7 0.408 0.250 0.521
Pd8 0.422 0.750 0.074
Pd9 0.442 0.009 0.296
Pd10 0.442 0.491 0.296
Pd11 0.558 0.509 0.704
Pd12 0.558 0.991 0.704
Pd13 0.578 0.250 0.926
Pd14 0.592 0.750 0.479
Pd15 0.684 0.750 0.218
Pd16 0.816 0.250 0.718
Pd17 0.908 0.250 0.979
Pd18 0.922 0.750 0.426
Pd19 0.942 0.009 0.204
Pd20 0.942 0.491 0.204

---

Entry 4:
Here is MoPt2W after structural relaxation from Alexandria. Energies are from GGA-PBE.

Summary:
SG: R3m
Formation enthalpy at 0 K (eV per atom): -0.0567

Cell lengths 2.795, 2.795, 28.044 Å; angles 90.00, 90.00, 120.00 degrees
Atoms (fractional coordinates):
Mo1 0.000 0.000 0.000
Mo2 0.333 0.667 0.667
Mo3 0.667 0.333 0.333
Pt1 0.000 0.000 0.500
Pt2 0.000 0.000 0.747
Pt3 0.333 0.667 0.166
Pt4 0.333 0.667 0.413
Pt5 0.667 0.333 0.080
Pt6 0.667 0.333 0.833
W1 0.000 0.000 0.246
W2 0.333 0.667 0.913
W3 0.667 0.333 0.580

---

Entry 5:
Here is PmMgHg5 after structural relaxation from Alexandria. Energies are from GGA-PBE.

Summary:
SG: P4/mmm
Formation enthalpy at 0 K (eV per atom): -0.2654

Cell lengths 4.822, 4.822, 7.646 Å; angles 90.00, 90.00, 90.00 degrees
Atoms (fractional coordinates):
Pm1 0.000 0.000 0.000
Mg1 0.000 0.000 0.500
Hg1 0.000 0.500 0.288
Hg2 0.000 0.500 0.712
Hg3 0.500 0.000 0.288
Hg4 0.500 0.000 0.712
Hg5 0.500 0.500 0.000

---

Entry 6:
Here is Yb3Ge13Rh4 after structural relaxation from Alexandria. Energies are from GGA-PBE.

Summary:
SG: Pm-3n
Formation enthalpy at 0 K (eV per atom): -0.4979

Cell lengths 9.036, 9.036, 9.036 Å; angles 90.00, 90.00, 90.00 degrees
Atoms (fractional coordinates):
Yb1 0.000 0.250 0.500
Yb2 0.000 0.750 0.500
Yb3 0.250 0.500 0.000
Yb4 0.500 0.000 0.250
Yb5 0.500 0.000 0.750
Yb6 0.750 0.500 0.000
Ge1 0.000 0.000 0.000
Ge2 0.000 0.305 0.146
Ge3 0.000 0.305 0.854
Ge4 0.000 0.695 0.146
Ge5 0.000 0.695 0.854
Ge6 0.146 0.000 0.305
Ge7 0.146 0.000 0.695
Ge8 0.195 0.500 0.354
Ge9 0.195 0.500 0.646
Ge10 0.305 0.146 0.000
Ge11 0.305 0.854 0.000
Ge12 0.354 0.195 0.500
Ge13 0.354 0.805 0.500
Ge14 0.500 0.354 0.195
Ge15 0.500 0.354 0.805
Ge16 0.500 0.500 0.500
Ge17 0.500 0.646 0.195
Ge18 0.500 0.646 0.805
Ge19 0.646 0.195 0.500
Ge20 0.646 0.805 0.500
Ge21 0.695 0.146 0.000
Ge22 0.695 0.854 0.000
Ge23 0.805 0.500 0.354
Ge24 0.805 0.500 0.646
Ge25 0.854 0.000 0.305
Ge26 0.854 0.000 0.695
Rh1 0.250 0.250 0.250
Rh2 0.250 0.250 0.750
Rh3 0.250 0.750 0.250
Rh4 0.250 0.750 0.750
Rh5 0.750 0.250 0.250
Rh6 0.750 0.250 0.750
Rh7 0.750 0.750 0.250
Rh8 0.750 0.750 0.750

---

Entry 7:
Here is Pr2YHo3Te6 after structural relaxation from Alexandria. Energies are from GGA-PBE.

Summary:
SG: C2/m
Formation energy without anion corrections (meV/atom): -1324

Cell lengths 9.900, 9.900, 8.906 Å; angles 103.96, 103.96, 25.46 degrees
Atoms (fractional coordinates):
Pr1 0.170 0.170 0.338
Pr2 0.830 0.830 0.662
Y1 0.500 0.500 0.000
Ho1 0.172 0.172 0.835
Ho2 0.500 0.500 0.500
Ho3 0.828 0.828 0.165
Te1 0.005 0.005 0.751
Te2 0.335 0.335 0.928
Te3 0.339 0.339 0.407
Te4 0.661 0.661 0.593
Te5 0.665 0.665 0.072
Te6 0.995 0.995 0.249

---

Entry 8:
Here is YZn12Pt6 after structural relaxation from Alexandria. Energies are from GGA-PBE.

Summary:
SG: R-3m
Formation enthalpy at 0 K (eV per atom): -0.3845

Cell lengths 7.182, 7.182, 7.182 Å; angles 105.19, 105.19, 105.19 degrees
Atoms (fractional coordinates):
Y1 0.000 0.000 0.000
Zn1 0.110 0.500 0.890
Zn2 0.110 0.890 0.500
Zn3 0.138 0.387 0.387
Zn4 0.387 0.138 0.387
Zn5 0.387 0.387 0.138
Zn6 0.500 0.110 0.890
Zn7 0.500 0.890 0.110
Zn8 0.613 0.613 0.862
Zn9 0.613 0.862 0.613
Zn10 0.862 0.613 0.613
Zn11 0.890 0.110 0.500
Zn12 0.890 0.500 0.110
Pt1 0.281 0.281 0.711
Pt2 0.281 0.711 0.281
Pt3 0.289 0.719 0.719
Pt4 0.711 0.281 0.281
Pt5 0.719 0.289 0.719
Pt6 0.719 0.719 0.289

---

Entry 9:
Here is NiWSe after structural relaxation from Alexandria. Energies are from GGA-PBE.

Summary:
SG: F-43m
Formation energy without anion corrections (meV/atom): 530

Cell lengths 5.900, 5.900, 5.900 Å; angles 90.00, 90.00, 90.00 degrees
Atoms (fractional coordinates):
Ni1 0.000 0.000 0.000
Ni2 0.000 0.500 0.500
Ni3 0.500 0.000 0.500
Ni4 0.500 0.500 0.000
W1 0.250 0.250 0.750
W2 0.250 0.750 0.250
W3 0.750 0.250 0.250
W4 0.750 0.750 0.750
Se1 0.000 0.000 0.500
Se2 0.000 0.500 0.000
Se3 0.500 0.000 0.000
Se4 0.500 0.500 0.500

---

Entry 10:
Here is HoZnCo after structural relaxation from Alexandria. Energies are from GGA-PBE.

Summary:
SG: Pnma
Formation enthalpy at 0 K (eV per atom): -0.2876

Cell lengths 6.731, 3.917, 7.888 Å; angles 90.00, 90.00, 90.00 degrees
Atoms (fractional coordinates):
Ho1 0.033 0.250 0.182
Ho2 0.467 0.750 0.682
Ho3 0.533 0.250 0.318
Ho4 0.967 0.750 0.818
Zn1 0.141 0.250 0.560
Zn2 0.359 0.750 0.060
Zn3 0.641 0.250 0.940
Zn4 0.859 0.750 0.440
Co1 0.236 0.750 0.371
Co2 0.264 0.250 0.871
Co3 0.736 0.750 0.129
Co4 0.764 0.250 0.629

---

Entry 11:
Here is Pm2GaPt5 after structural relaxation from Alexandria. Energies are from GGA-PBE.

Summary:
SG: I4mm
Formation enthalpy at 0 K (eV per atom): -0.8867

Cell lengths 6.247, 6.247, 8.254 Å; angles 90.00, 90.00, 90.00 degrees
Atoms (fractional coordinates):
Pm1 0.000 0.500 0.000
Pm2 0.000 0.500 0.500
Pm3 0.500 0.000 0.000
Pm4 0.500 0.000 0.500
Ga1 0.000 0.000 0.297
Ga2 0.500 0.500 0.797
Pt1 0.000 0.000 0.987
Pt2 0.224 0.224 0.745
Pt3 0.224 0.776 0.745
Pt4 0.276 0.276 0.245
Pt5 0.276 0.724 0.245
Pt6 0.500 0.500 0.487
Pt7 0.724 0.276 0.245
Pt8 0.724 0.724 0.245
Pt9 0.776 0.224 0.745
Pt10 0.776 0.776 0.745

---

Entry 12:
Here is Mn2Co2Ru after structural relaxation from Alexandria. Energies are from GGA-PBE.

Summary:
SG: P4/mbm
Formation enthalpy at 0 K (eV per atom): 0.2486

Cell lengths 6.728, 6.728, 2.530 Å; angles 90.00, 90.00, 90.00 degrees
Atoms (fractional coordinates):
Mn1 0.117 0.383 0.000
Mn2 0.383 0.883 0.000
Mn3 0.617 0.117 0.000
Mn4 0.883 0.617 0.000
Co1 0.177 0.677 0.500
Co2 0.323 0.177 0.500
Co3 0.677 0.823 0.500
Co4 0.823 0.323 0.500
Ru1 0.000 0.000 0.000
Ru2 0.500 0.500 0.000